w | VASP calculation (PBE) on a relaxed Hf2MgGe crystal.

Cell lengths 4.8017, 4.8017, 4.8017 Å; angles 60.00, 60.00, 60.00 degrees
Last column: nearest neighbours and their distance in Å.
Atoms (fractional coordinates):
Ge  0.5000  0.5000  0.5000  8 Hf 2.94
Hf  0.2500  0.2500  0.2500  4 Ge 2.94, 4 Mg 2.94
Hf  0.7500  0.7500  0.7500  4 Ge 2.94, 4 Mg 2.94
Mg  0.0000  0.0000  0.0000  8 Hf 2.94

**Magnetic moment**: 0.000 μB per atom
**Space-group type**: Fm-3m


x | VASP calculation (PBE) on a relaxed Hf2MgGe crystal.

Cell lengths 7.6938, 7.6938, 6.1633 Å; angles 51.38, 51.38, 90.00 degrees
Last column: nearest neighbours and their distance in Å.
Atoms (fractional coordinates):
Ge  0.0000  0.0000  0.0000  4 Hf 2.68, 2 Mg 2.90
Ge  0.7500  0.2500  0.5000  4 Hf 2.68, 2 Mg 2.90
Hf  0.6506  0.1250  0.2500  2 Ge 2.68, 2 Hf 2.92, 2 Mg 2.95
Hf  0.0994  0.6250  0.2500  2 Ge 2.68, 2 Hf 2.92, 2 Mg 2.95
Hf  0.3750  0.3494  0.7500  2 Ge 2.68, 2 Hf 2.92, 2 Mg 2.95
Hf  0.8750  0.9006  0.7500  2 Ge 2.68, 2 Hf 2.92, 2 Mg 2.95
Mg  0.5000  0.5000  0.0000  2 Ge 2.90, 4 Hf 2.95
Mg  0.2500  0.7500  0.5000  2 Ge 2.90, 4 Hf 2.95

**Magnetic moment**: 0.000 μB per atom
**Space-group type**: I-42d


w ends up most stable, edging out the next structure by 14.3 kJ/mol of atoms.


w | VASP calculation (PBE) on a relaxed HfGe2Mo crystal.

Cell lengths 3.7024, 6.4456, 6.5329 Å; angles 99.66, 106.46, 90.00 degrees
Last column: nearest neighbours and their distance in Å.
Atoms (fractional coordinates):
Hf  0.7502  0.2500  0.0000  6 Ge 2.70
Hf  0.2498  0.7500  0.0000  6 Ge 2.70
Ge  0.8833  0.6278  0.2668  3 Mo 2.58, 3 Hf 2.70
Ge  0.3835  0.1278  0.2668  3 Mo 2.58, 3 Hf 2.70
Ge  0.6165  0.8722  0.7332  3 Mo 2.58, 3 Hf 2.70
Ge  0.1167  0.3722  0.7332  3 Mo 2.58, 3 Hf 2.70
Mo  0.0000  0.0000  0.5000  6 Ge 2.58
Mo  0.5000  0.5000  0.5000  6 Ge 2.58

**Magnetic moment**: 0.000 μB per atom
**Space-group type**: C2/m


x | VASP calculation (PBE) on a relaxed HfGe2Mo crystal.

Cell lengths 3.9350, 3.9350, 9.9919 Å; angles 78.64, 78.64, 90.00 degrees
Last column: nearest neighbours and their distance in Å.
Atoms (fractional coordinates):
Mo  0.5000  0.5000  0.0000  4 Ge 2.77, 4 Hf 2.78
Mo  0.2500  0.7500  0.5000  4 Ge 2.77, 4 Hf 2.78
Hf  0.0000  0.0000  0.0000  4 Ge 2.78, 4 Mo 2.78
Hf  0.7500  0.2500  0.5000  4 Ge 2.78, 4 Mo 2.78
Ge  0.6203  0.1250  0.2500  4 Ge 2.76-2.81, 2 Mo 2.77, 2 Hf 2.78
Ge  0.1297  0.6250  0.2500  4 Ge 2.76-2.81, 2 Mo 2.77, 2 Hf 2.78
Ge  0.3750  0.3797  0.7500  4 Ge 2.76-2.81, 2 Mo 2.77, 2 Hf 2.78
Ge  0.8750  0.8703  0.7500  4 Ge 2.76-2.81, 2 Mo 2.77, 2 Hf 2.78

**Magnetic moment**: 0.000 μB per atom
**Space-group type**: I-42d


y | VASP calculation (PBE) on a relaxed HfGe2Mo crystal.

Cell lengths 4.5606, 4.5606, 4.5606 Å; angles 60.00, 60.00, 60.00 degrees
Last column: nearest neighbours and their distance in Å.
Atoms (fractional coordinates):
Mo  0.0000  0.0000  0.0000  8 Ge 2.79
Hf  0.5000  0.5000  0.5000  8 Ge 2.79
Ge  0.2500  0.2500  0.2500  4 Hf 2.79, 4 Mo 2.79
Ge  0.7500  0.7500  0.7500  4 Hf 2.79, 4 Mo 2.79

**Magnetic moment**: 0.000 μB per atom
**Space-group type**: Fm-3m


y ends up most stable, edging out the next structure by 7.0 kJ/mol of atoms.


w | VASP calculation (PBE) on a relaxed HfGe2Mo2 crystal.

Cell lengths 4.6783, 4.6783, 5.3634 Å; angles 64.14, 64.14, 90.00 degrees
Last column: nearest neighbours and their distance in Å.
Atoms (fractional coordinates):
Mo  0.3659  0.3659  0.2683  1 Mo 2.27, 4 Ge 2.54
Mo  0.6341  0.6341  0.7317  1 Mo 2.27, 4 Ge 2.54
Hf  0.0000  0.0000  0.0000  2 Mo 3.09, 8 Ge 3.15
Ge  0.7500  0.2500  0.5000  4 Mo 2.54
Ge  0.2500  0.7500  0.5000  4 Mo 2.54

**Magnetic moment**: 0.000 μB per atom
**Space-group type**: I4/mmm


x | VASP calculation (PBE) on a relaxed HfGe2Mo2 crystal.

Cell lengths 7.1335, 7.1335, 3.2544 Å; angles 90.00, 90.00, 90.00 degrees
Last column: nearest neighbours and their distance in Å.
Atoms (fractional coordinates):
Mo  0.1523  0.6523  0.5000  6 Ge 2.65
Mo  0.6523  0.8477  0.5000  6 Ge 2.65
Mo  0.8477  0.3477  0.5000  6 Ge 2.65
Mo  0.3477  0.1523  0.5000  6 Ge 2.65
Hf  0.0000  0.0000  0.0000  4 Ge 2.75
Hf  0.5000  0.5000  0.0000  4 Ge 2.75
Ge  0.3592  0.8592  0.0000  6 Mo 2.65, 2 Hf 2.75, 1 Ge 2.84
Ge  0.8592  0.6408  0.0000  6 Mo 2.65, 2 Hf 2.75, 1 Ge 2.84
Ge  0.6408  0.1408  0.0000  6 Mo 2.65, 2 Hf 2.75, 1 Ge 2.84
Ge  0.1408  0.3592  0.0000  6 Mo 2.65, 2 Hf 2.75, 1 Ge 2.84

**Magnetic moment**: 0.000 μB per atom
**Space-group type**: P4/mbm


x ends up most stable, edging out the next structure by 37.7 kJ/mol of atoms.


w | VASP calculation (PBE) on a relaxed HfSc2GeN crystal.

Cell lengths 4.3971, 4.3971, 4.3348 Å; angles 90.00, 90.00, 90.00 degrees
Last column: nearest neighbours and their distance in Å.
Atoms (fractional coordinates):
Sc  0.0000  0.5000  0.0000  2 N 2.20
Sc  0.5000  0.0000  0.0000  2 N 2.20
Ge  0.5000  0.5000  0.5000  8 Sc 3.09, 4 Hf 3.11
Hf  0.0000  0.0000  0.5000  2 N 2.17
N  0.0000  0.0000  0.0000  2 Hf 2.17, 4 Sc 2.20

**Magnetic moment**: 0.000 μB per atom
**Space-group type**: P4/mmm


x | VASP calculation (PBE) on a relaxed HfSc2GeN crystal.

Cell lengths 5.2633, 5.0145, 5.2633 Å; angles 90.00, 90.00, 90.00 degrees
Last column: nearest neighbours and their distance in Å.
Atoms (fractional coordinates):
Sc  0.0000  0.0000  0.5000  2 Hf 2.63
Sc  0.5000  0.0000  0.0000  2 Hf 2.63
Ge  0.0000  0.5000  0.0000  2 Hf 2.51
Hf  0.0000  0.0000  0.0000  2 Ge 2.51, 4 Sc 2.63
N  0.5000  0.5000  0.5000  8 Sc 3.63, 4 Ge 3.72

**Magnetic moment**: 0.382 μB per atom
**Space-group type**: P4/mmm


w ends up most stable, edging out the next structure by 252.1 kJ/mol of atoms.